Below is a relaxed structure of GaPF, with properties calculated at the PBE-GGA level.

The structure in CIF format:
```
data_GaPF
_symmetry_space_group_name_H-M 'P 1'
_symmetry_Int_Tables_number 1
_cell_length_a 2.876
_cell_length_b 3.823
_cell_length_c 5.773
_cell_angle_alpha 90.00
_cell_angle_beta 88.41
_cell_angle_gamma 89.80
loop_
_symmetry_equiv_pos_as_xyz
'x,y,z'
loop_
_atom_site_label
_atom_site_type_symbol
_atom_site_fract_x
_atom_site_fract_y
_atom_site_fract_z
Ga1 Ga 0.000 0.000 0.000
P1 P 0.013 0.500 0.766
F1 F 0.487 0.000 0.228
```

Properties
energy relative to the elements, uncorrected: -980 meV per atom
distance to the lowest polymorph of the same formula: 26.13 kJ/mol of atoms